a:
The following is a PBE calculation of an optimized crystal structure of Sm3HgRh, from Alexandria.

Unit cell a=7.3636 b=4.9320 c=15.0510 alpha=90.00 beta=90.00 gamma=90.00
Closest atoms and distances in Å follow each position.
Space group Pnma (No. 62)
Symmetry-distinct sites (fractional):
Sm  0.0103  0.2500  0.1026 x4  3 Rh 2.81-3.05
Sm  0.1339  0.7500  0.4556 x4  3 Rh 2.99-3.01, 2 Hg 3.23
Sm  0.1866  0.2500  0.7222 x4  1 Rh 2.75
Hg  0.0936  0.2500  0.3180 x4  8 Sm 3.23-3.30
Rh  0.2245  0.7500  0.0446 x4  7 Sm 2.75-3.05

Calculated values
For the mass density, the calculation gives 9.17 g/cm³.

b:
The following is a PBE calculation of an optimized crystal structure of Sm3HgRh, from Alexandria.

Unit cell a=8.3822 b=4.1928 c=8.5305 alpha=90.00 beta=109.63 gamma=90.00
Closest atoms and distances in Å follow each position.
Space group P2_1/m (No. 11)
Symmetry-distinct sites (fractional):
Sm  0.0548  0.2500  0.2551 x2  3 Rh 2.84-2.98
Sm  0.3185  0.2500  0.9534 x2  1 Rh 2.87, 2 Hg 3.11
Sm  0.3286  0.7500  0.6029 x2  2 Rh 2.90, 1 Hg 3.22
Hg  0.3441  0.7500  0.2308 x2  7 Sm 3.11-3.36
Rh  0.0937  0.2500  0.6153 x2  6 Sm 2.84-2.98, 2 Rh 2.94

Calculated values
For the mass density, the calculation gives 8.87 g/cm³.

Which of them is least stable? Easy: b.

a:
The following is a PBE calculation of an optimized crystal structure of TlSn2HgRh, from Alexandria.

Unit cell a=5.1533 b=5.1533 c=5.3091 alpha=90.00 beta=90.00 gamma=90.00
Closest atoms and distances in Å follow each position.
Space group P4/mmm (No. 123)
Symmetry-distinct sites (fractional):
Tl  0.0000  0.0000  0.0000 x1  2 Rh 2.65
Sn  0.0000  0.5000  0.5000 x2  2 Rh 2.58
Hg  0.5000  0.5000  0.0000 x1  4 Tl 3.64, 8 Sn 3.70
Rh  0.0000  0.0000  0.5000 x1  4 Sn 2.58, 2 Tl 2.65

Calculated values
For the mass density, the calculation gives 8.78 g/cm³.

b:
The following is a PBE calculation of an optimized crystal structure of TlSn2HgRh, from Alexandria.

Unit cell a=5.6496 b=5.6496 c=5.0982 alpha=90.00 beta=90.00 gamma=90.00
Closest atoms and distances in Å follow each position.
Space group P4/mmm (No. 123)
Symmetry-distinct sites (fractional):
Tl  0.0000  0.0000  0.0000 x1  2 Rh 2.55, 4 Sn 2.82
Sn  0.0000  0.5000  0.0000 x2  2 Tl 2.82
Hg  0.5000  0.5000  0.5000 x1  8 Sn 3.80, 4 Rh 3.99
Rh  0.0000  0.0000  0.5000 x1  2 Tl 2.55

Calculated values
For the mass density, the calculation gives 7.61 g/cm³.

Which of them is least stable? Easy: b.